(1)
VASP calculation (PBE-GGA) on a geometry-optimized SiSnB2Mo structure.

Computed properties:
formation energy from raw total energies	1.32	eV per atom
total moment	0.00	μB/f.u.

a = 4.1367 Å, b = 4.1367 Å, c = 5.4529 Å
α = 90.00°, β = 90.00°, γ = 90.00°
Atoms (fractional coordinates):
Si 0.0000 0.0000 0.0000
Sn 0.5000 0.5000 0.0000
B 0.0000 0.5000 0.5000
B 0.5000 0.0000 0.5000
Mo 0.5000 0.5000 0.5000

=====

(2)
VASP calculation (PBE-GGA) on a geometry-optimized SiTc2BMo structure.

Computed properties:
formation energy from raw total energies	1.73	eV per atom
total moment	0.00	μB/f.u.

a = 4.7214 Å, b = 4.7214 Å, c = 3.9871 Å
α = 90.00°, β = 90.00°, γ = 90.00°
Atoms (fractional coordinates):
Si 0.0000 0.0000 0.0000
Tc 0.0000 0.5000 0.5000
Tc 0.5000 0.0000 0.5000
B 0.5000 0.5000 0.0000
Mo 0.5000 0.5000 0.5000

=====

(3)
VASP calculation (PBE-GGA) on a geometry-optimized SmB4Mo structure.

Computed properties:
total moment	0.00	μB/f.u.
formation enthalpy at 0 K	-332.4	kJ/mol of formula units

a = 6.0909 Å, b = 11.7739 Å, c = 3.6757 Å
α = 90.00°, β = 90.00°, γ = 90.00°
Atoms (fractional coordinates):
Sm 0.1257 0.1501 0.0000
Sm 0.3743 0.6501 0.0000
Sm 0.6257 0.3499 0.0000
Sm 0.8743 0.8499 0.0000
B 0.0247 0.6920 0.5000
B 0.1129 0.5467 0.5000
B 0.1355 0.9679 0.5000
B 0.2164 0.8147 0.5000
B 0.2836 0.3147 0.5000
B 0.3645 0.4679 0.5000
B 0.3871 0.0467 0.5000
B 0.4753 0.1920 0.5000
B 0.5247 0.8080 0.5000
B 0.6129 0.9533 0.5000
B 0.6355 0.5321 0.5000
B 0.7164 0.6853 0.5000
B 0.7836 0.1853 0.5000
B 0.8645 0.0321 0.5000
B 0.8871 0.4533 0.5000
B 0.9753 0.3080 0.5000
Mo 0.1283 0.4171 0.0000
Mo 0.3717 0.9171 0.0000
Mo 0.6283 0.0829 0.0000
Mo 0.8717 0.5829 0.0000

=====

Look up the total moment of the first one. 0.00 μB/f.u.